Entry 1:
VASP calculation (PBE-GGA) on crystalline TlIn2Pt at its relaxed geometry.

Output
Energy above the lowest structure with this stoichiometry = 132 meV per atom
Formation enthalpy at 0 K = -0.048 eV per atom
SG = Immm, No. 71

Unit cell a=5.778 b=5.778 c=5.778 alpha=142.15 beta=121.87 gamma=71.48
Positions (direct):
Tl 0.000 0.000 0.000
In 0.287 0.787 0.500
In 0.713 0.213 0.500
Pt 0.500 0.500 0.000

---

Entry 2:
VASP calculation (PBE-GGA) on crystalline TlIn2Pt at its relaxed geometry.

Output
Energy above the lowest structure with this stoichiometry = 240 meV per atom
Formation enthalpy at 0 K = 0.060 eV per atom
SG = Cmmm, No. 65

Unit cell a=4.582 b=4.582 c=4.434 alpha=90.00 beta=90.00 gamma=100.19
Positions (direct):
Tl 0.000 0.000 0.000
In 0.000 0.500 0.500
In 0.500 0.000 0.500
Pt 0.500 0.500 0.000

---

Entry 3:
VASP calculation (PBE-GGA) on crystalline Tl5InPt4 at its relaxed geometry.

Output
Formation enthalpy at 0 K = -0.089 eV per atom
SG = C2/m, No. 12

Unit cell a=9.628 b=9.628 c=7.103 alpha=109.15 beta=109.15 gamma=23.38
Positions (direct):
Tl 0.000 0.000 0.000
Tl 0.303 0.303 0.713
Tl 0.351 0.351 0.181
Tl 0.649 0.649 0.819
Tl 0.697 0.697 0.287
In 0.000 0.000 0.500
Pt 0.148 0.148 0.524
Pt 0.454 0.454 0.707
Pt 0.546 0.546 0.293
Pt 0.852 0.852 0.476

---

Entry 4:
VASP calculation (PBE-GGA) on crystalline TlIn4Pt at its relaxed geometry.

Output
Formation enthalpy at 0 K = 0.300 eV per atom
SG = F-43m, No. 216

Unit cell a=6.045 b=6.045 c=6.045 alpha=60.00 beta=60.00 gamma=60.00
Positions (direct):
Tl 0.000 0.000 0.000
In 0.127 0.624 0.624
In 0.624 0.127 0.624
In 0.624 0.624 0.127
In 0.624 0.624 0.624
Pt 0.250 0.250 0.250

---

Entry 5:
VASP calculation (PBE-GGA) on crystalline TlZnIn2Pt at its relaxed geometry.

Output
Formation enthalpy at 0 K = -0.147 eV per atom
SG = P4/mmm, No. 123

Unit cell a=5.194 b=5.194 c=4.968 alpha=90.00 beta=90.00 gamma=90.00
Positions (direct):
Tl 0.000 0.000 0.000
Zn 0.500 0.500 0.000
In 0.000 0.500 0.500
In 0.500 0.000 0.500
Pt 0.500 0.500 0.500

---

Entry 6:
VASP calculation (PBE-GGA) on crystalline TlZnInPt2 at its relaxed geometry.

Output
Formation enthalpy at 0 K = 0.795 eV per atom
SG = P4/mmm, No. 123

Unit cell a=5.165 b=5.165 c=4.924 alpha=90.00 beta=90.00 gamma=90.00
Positions (direct):
Tl 0.000 0.000 0.000
Zn 0.000 0.000 0.500
In 0.500 0.500 0.500
Pt 0.000 0.500 0.000
Pt 0.500 0.000 0.000

---

Entry 7:
VASP calculation (PBE-GGA) on crystalline Tm4InPt at its relaxed geometry.

Output
Energy above the lowest structure with this stoichiometry = 0 meV per atom
Formation enthalpy at 0 K = -0.698 eV per atom
SG = F-43m, No. 216

Unit cell a=9.586 b=9.586 c=9.586 alpha=60.00 beta=60.00 gamma=60.00
Positions (direct):
Tm 0.061 0.061 0.439
Tm 0.061 0.439 0.061
Tm 0.061 0.439 0.439
Tm 0.187 0.187 0.813
Tm 0.187 0.813 0.187
Tm 0.187 0.813 0.813
Tm 0.195 0.602 0.602
Tm 0.439 0.061 0.061
Tm 0.439 0.061 0.439
Tm 0.439 0.439 0.061
Tm 0.602 0.195 0.602
Tm 0.602 0.602 0.195
Tm 0.602 0.602 0.602
Tm 0.813 0.187 0.187
Tm 0.813 0.187 0.813
Tm 0.813 0.813 0.187
In 0.499 0.834 0.834
In 0.834 0.499 0.834
In 0.834 0.834 0.499
In 0.834 0.834 0.834
Pt 0.393 0.393 0.393
Pt 0.393 0.393 0.821
Pt 0.393 0.821 0.393
Pt 0.821 0.393 0.393

---

Entry 8:
VASP calculation (PBE-GGA) on crystalline Tm5In4Pt at its relaxed geometry.

Output
Formation enthalpy at 0 K = -0.620 eV per atom
SG = P4/mmm, No. 123

Unit cell a=3.492 b=3.492 c=20.268 alpha=90.00 beta=90.00 gamma=90.00
Positions (direct):
Tm 0.000 0.000 0.000
Tm 0.000 0.000 0.208
Tm 0.000 0.000 0.419
Tm 0.000 0.000 0.581
Tm 0.000 0.000 0.792
In 0.500 0.500 0.104
In 0.500 0.500 0.311
In 0.500 0.500 0.689
In 0.500 0.500 0.896
Pt 0.500 0.500 0.500